Entry 1:
Below is crystalline KBa3Ca at its relaxed geometry, with properties calculated at the GGA-PBEsol level.

a = 6.7417 Å, b = 6.7417 Å, c = 6.7417 Å
α = 90.00°, β = 90.00°, γ = 90.00°
Last column: nearest neighbours and their distance in Å.
Element x y z (fractional)
K 0.0000 0.0000 0.0000  6 Ba 3.37
Ca 0.5000 0.5000 0.5000  12 Ba 4.77
Ba 0.0000 0.5000 0.0000  2 K 3.37
Ba 0.0000 0.0000 0.5000  2 K 3.37
Ba 0.5000 0.0000 0.0000  2 K 3.37

Space-group type: Pm-3m
Total DFT energy (no corrections) in eV/atom: -1.37
M_tot in Bohr magnetons per cell: 2.381
Energy of formation in eV/atom: 0.5683

Entry 2:
Below is crystalline Ba2CaLa at its relaxed geometry, with properties calculated at the GGA-PBEsol level.

a = 3.9392 Å, b = 5.7187 Å, c = 8.0812 Å
α = 90.00°, β = 90.00°, γ = 90.00°
Last column: nearest neighbours and their distance in Å.
Element x y z (fractional)
Ca 0.0000 0.0000 0.5171  5 Ba 3.73-4.04, 4 La 3.92, 2 Ca 3.94
Ba 0.0000 0.0000 0.9786  1 Ca 3.73, 6 Ba 3.94-4.16, 4 La 3.96
Ba 0.5000 0.5000 0.2611  2 La 3.89-4.19, 6 Ba 3.94-4.16, 4 Ca 4.04
La 0.5000 0.5000 0.7431  6 Ba 3.89-4.19, 4 Ca 3.92, 2 La 3.94

Space-group type: Pmm2
Energy above the most stable polymorph in this dataset in kJ/mol of formula units: 4.0
Total DFT energy (no corrections) in eV/atom: -2.80
M_tot in Bohr magnetons per cell: 0.000
Energy of formation in eV/atom: 0.1461

Entry 3:
Below is crystalline Ba2CaLa at its relaxed geometry, with properties calculated at the GGA-PBEsol level.

a = 3.8704 Å, b = 3.8704 Å, c = 12.9664 Å
α = 90.00°, β = 90.00°, γ = 110.70°
Last column: nearest neighbours and their distance in Å.
Element x y z (fractional)
Ca 0.5000 0.5000 0.5000  4 Ca 3.87, 4 Ba 3.96
Ba 0.0000 0.0000 0.2457  4 Ba 3.87, 2 La 3.87, 2 Ca 3.96
Ba 0.0000 0.0000 0.7543  4 Ba 3.87, 2 La 3.87, 2 Ca 3.96
La 0.5000 0.5000 0.0000  4 La 3.87, 4 Ba 3.87

Space-group type: Cmmm
Energy above the most stable polymorph in this dataset in kJ/mol of formula units: 0.0
Total DFT energy (no corrections) in eV/atom: -2.81
M_tot in Bohr magnetons per cell: 0.001
Energy of formation in eV/atom: 0.1358

Entry 4:
Below is crystalline BaCaLa2 at its relaxed geometry, with properties calculated at the GGA-PBEsol level.

a = 3.7877 Å, b = 3.7877 Å, c = 11.2898 Å
α = 90.00°, β = 90.00°, γ = 90.00°
Last column: nearest neighbours and their distance in Å.
Element x y z (fractional)
Ca 0.5000 0.5000 0.7730  4 Ca 3.79, 4 La 3.83, 4 Ba 4.18
Ba 0.0000 0.0000 0.4892  4 Ba 3.79, 4 La 4.04, 4 Ca 4.18
La 0.0000 0.0000 0.0161  8 La 3.54-3.79, 4 Ca 3.83
La 0.5000 0.5000 0.2217  8 La 3.54-3.79

Space-group type: P4mm
Total DFT energy (no corrections) in eV/atom: -3.68
M_tot in Bohr magnetons per cell: 0.001
Energy of formation in eV/atom: 0.0683

Entry 5:
Below is crystalline BaLiCa2 at its relaxed geometry, with properties calculated at the GGA-PBEsol level.

a = 3.8448 Å, b = 6.1238 Å, c = 7.0291 Å
α = 90.00°, β = 99.96°, γ = 90.00°
Last column: nearest neighbours and their distance in Å.
Element x y z (fractional)
Ca 0.6908 0.0000 0.7650  2 Li 3.61, 5 Ca 3.72-3.84, 2 Ba 3.88
Ca 0.3092 0.0000 0.2350  2 Li 3.61, 5 Ca 3.72-3.84, 2 Ba 3.88
Ba 0.0000 0.5000 0.5000  2 Li 3.70, 2 Ba 3.84, 4 Ca 3.88
Li 0.5000 0.5000 0.0000  4 Ca 3.61, 2 Ba 3.70, 2 Li 3.84

Space-group type: P2/m
Energy above the most stable polymorph in this dataset in kJ/mol of formula units: 21.9
Total DFT energy (no corrections) in eV/atom: -2.01
M_tot in Bohr magnetons per cell: 0.000
Energy of formation in eV/atom: 0.0829

Entry 6:
Below is crystalline BaLiCa2 at its relaxed geometry, with properties calculated at the GGA-PBEsol level.

a = 6.0502 Å, b = 6.0502 Å, c = 6.0502 Å
α = 60.00°, β = 60.00°, γ = 60.00°
Last column: nearest neighbours and their distance in Å.
Element x y z (fractional)
Ca 0.2500 0.2500 0.2500  4 Li 3.70, 4 Ba 3.70
Ca 0.7500 0.7500 0.7500  4 Ba 3.70, 4 Li 3.70
Ba 0.5000 0.5000 0.5000  8 Ca 3.70
Li 0.0000 0.0000 0.0000  8 Ca 3.70

Space-group type: Fm-3m
Energy above the most stable polymorph in this dataset in kJ/mol of formula units: 31.4
Total DFT energy (no corrections) in eV/atom: -1.99
M_tot in Bohr magnetons per cell: 0.000
Energy of formation in eV/atom: 0.1075

Entry 7:
Below is crystalline BaLiCa2 at its relaxed geometry, with properties calculated at the GGA-PBEsol level.

a = 4.2709 Å, b = 6.2484 Å, c = 7.1169 Å
α = 116.04°, β = 107.46°, γ = 90.00°
Last column: nearest neighbours and their distance in Å.
Element x y z (fractional)
Ca 0.0078 0.0078 0.0156  4 Li 3.79, 4 Ca 3.90-4.17, 4 Ba 4.03-4.07
Ca 0.7790 0.2790 0.5580  2 Li 3.31
Ba 0.2247 0.7247 0.4494  2 Li 3.56, 4 Ca 3.84
Li 0.4885 0.4885 0.9770  2 Ca 3.31, 2 Ba 3.56

Space-group type: Imm2
Energy above the most stable polymorph in this dataset in kJ/mol of formula units: 15.6
Total DFT energy (no corrections) in eV/atom: -2.03
M_tot in Bohr magnetons per cell: 0.000
Energy of formation in eV/atom: 0.0665

Entry 8:
Below is crystalline BaLiCa2 at its relaxed geometry, with properties calculated at the GGA-PBEsol level.

a = 6.1252 Å, b = 6.1371 Å, c = 6.1252 Å
α = 60.06°, β = 90.00°, γ = 119.94°
Last column: nearest neighbours and their distance in Å.
Element x y z (fractional)
Ca 0.0000 0.0000 0.0000  4 Ca 3.76, 4 Ba 3.76
Ca 0.2500 0.5000 0.2500  4 Li 3.76, 4 Ca 3.76
Ba 0.7500 0.5000 0.7500  4 Ca 3.76, 4 Li 3.76
Li 0.5000 0.0000 0.5000  4 Ba 3.76, 4 Ca 3.76

Space-group type: I-4m2
Energy above the most stable polymorph in this dataset in kJ/mol of formula units: 21.3
Total DFT energy (no corrections) in eV/atom: -2.01
M_tot in Bohr magnetons per cell: 0.002
Energy of formation in eV/atom: 0.0814

Entry 9:
Below is crystalline BaLiCa2 at its relaxed geometry, with properties calculated at the GGA-PBEsol level.

a = 4.1457 Å, b = 4.1457 Å, c = 9.3419 Å
α = 90.00°, β = 90.00°, γ = 90.00°
Last column: nearest neighbours and their distance in Å.
Element x y z (fractional)
Ca 0.0000 0.0000 0.9736  8 Ca 3.81-4.15, 4 Ba 4.12, 1 Li 4.15
Ca 0.5000 0.5000 0.7130  4 Li 3.40
Ba 0.5000 0.5000 0.2840  4 Li 3.72, 5 Ca 4.01-4.12, 4 Ba 4.15
Li 0.0000 0.0000 0.5295  4 Ca 3.40, 4 Ba 3.72

Space-group type: P4mm
Energy above the most stable polymorph in this dataset in kJ/mol of formula units: 0.0
Total DFT energy (no corrections) in eV/atom: -2.07
M_tot in Bohr magnetons per cell: 0.001
Energy of formation in eV/atom: 0.0262

Entry 10:
Below is crystalline Ba2Li2Ca at its relaxed geometry, with properties calculated at the GGA-PBEsol level.

a = 4.9351 Å, b = 9.1912 Å, c = 9.1912 Å
α = 90.00°, β = 90.00°, γ = 90.00°
Last column: nearest neighbours and their distance in Å.
Element x y z (fractional)
Ca 0.0000 0.0000 0.0000  4 Li 3.68
Ca 0.0000 0.5000 0.5000  4 Li 3.68
Ba 0.5000 0.1779 0.6779  6 Li 3.63-3.71
Ba 0.5000 0.6779 0.8221  6 Li 3.63-3.71
Ba 0.5000 0.8221 0.3221  6 Li 3.63-3.71
Ba 0.5000 0.3221 0.1779  6 Li 3.63-3.71
Li 0.0000 0.3828 0.8828  1 Li 3.05
Li 0.0000 0.8828 0.6172  1 Li 3.05
Li 0.0000 0.6172 0.1172  1 Li 3.05
Li 0.0000 0.1172 0.3828  1 Li 3.05

Space-group type: P4/mbm
Energy above the most stable polymorph in this dataset in kJ/mol of formula units: 0.0
Total DFT energy (no corrections) in eV/atom: -2.03
M_tot in Bohr magnetons per cell: 0.000
Energy of formation in eV/atom: 0.0384

Entry 11:
Below is crystalline BaLiCa2 at its relaxed geometry, with properties calculated at the GGA-PBEsol level.

a = 4.0727 Å, b = 4.0727 Å, c = 9.6830 Å
α = 90.00°, β = 90.00°, γ = 90.00°
Last column: nearest neighbours and their distance in Å.
Element x y z (fractional)
Ca 0.0000 0.0000 0.8068  4 Li 3.43, 1 Ca 3.74
Ca 0.0000 0.0000 0.1932  4 Li 3.43, 1 Ca 3.74
Ba 0.5000 0.5000 0.5000  4 Ba 4.07, 8 Ca 4.14
Li 0.5000 0.5000 0.0000  8 Ca 3.43

Space-group type: P4/mmm
Energy above the most stable polymorph in this dataset in kJ/mol of formula units: 2.4
Total DFT energy (no corrections) in eV/atom: -2.06
M_tot in Bohr magnetons per cell: 0.001
Energy of formation in eV/atom: 0.0326

Entry 12:
Below is crystalline BaLiCa2 at its relaxed geometry, with properties calculated at the GGA-PBEsol level.

a = 4.3333 Å, b = 6.0333 Å, c = 6.2759 Å
α = 90.00°, β = 90.00°, γ = 90.00°
Last column: nearest neighbours and their distance in Å.
Element x y z (fractional)
Ca 0.0000 0.0000 0.0000  4 Ca 3.71, 4 Li 3.81
Ca 0.5000 0.5000 0.0000  4 Ca 3.71, 4 Ba 3.81
Ba 0.0000 0.5000 0.5000  4 Li 3.71, 4 Ca 3.81
Li 0.5000 0.0000 0.5000  4 Ba 3.71, 4 Ca 3.81

Space-group type: Pmmm
Energy above the most stable polymorph in this dataset in kJ/mol of formula units: 19.2
Total DFT energy (no corrections) in eV/atom: -2.02
M_tot in Bohr magnetons per cell: 0.000
Energy of formation in eV/atom: 0.0759

Entry 13:
Below is crystalline BaLi4Ca at its relaxed geometry, with properties calculated at the GGA-PBEsol level.

a = 6.3387 Å, b = 6.3387 Å, c = 6.3387 Å
α = 60.00°, β = 60.00°, γ = 60.00°
Last column: nearest neighbours and their distance in Å.
Element x y z (fractional)
Ca 0.0000 0.0000 0.0000  12 Li 3.71, 4 Ba 3.88
Ba 0.7500 0.7500 0.7500  12 Li 3.72, 4 Ca 3.88
Li 0.3720 0.3720 0.3720  6 Li 3.09-3.25
Li 0.3720 0.3720 0.8840  6 Li 3.09-3.25
Li 0.8840 0.3720 0.3720  6 Li 3.09-3.25
Li 0.3720 0.8840 0.3720  6 Li 3.09-3.25

Space-group type: F-43m
Total DFT energy (no corrections) in eV/atom: -2.02
M_tot in Bohr magnetons per cell: 0.001
Energy of formation in eV/atom: 0.0042

Entry 14:
Below is crystalline Ba2Li2Ca at its relaxed geometry, with properties calculated at the GGA-PBEsol level.

a = 3.8181 Å, b = 10.1676 Å, c = 10.1676 Å
α = 90.00°, β = 90.00°, γ = 90.00°
Last column: nearest neighbours and their distance in Å.
Element x y z (fractional)
Ca 0.0000 0.0000 0.0000  2 Ca 3.82, 4 Ba 3.95, 8 Li 4.26
Ca 0.0000 0.5000 0.5000  2 Ca 3.82, 4 Ba 3.95, 8 Li 4.26
Ba 0.0000 0.3633 0.8633  6 Li 3.46-3.60, 2 Ba 3.82
Ba 0.0000 0.8633 0.6367  6 Li 3.46-3.60, 2 Ba 3.82
Ba 0.0000 0.6367 0.1367  6 Li 3.46-3.60, 2 Ba 3.82
Ba 0.0000 0.1367 0.3633  6 Li 3.46-3.60, 2 Ba 3.82
Li 0.5000 0.1623 0.6623  6 Ba 3.46-3.60, 2 Li 3.82
Li 0.5000 0.6623 0.8377  6 Ba 3.46-3.60, 2 Li 3.82
Li 0.5000 0.8377 0.3377  6 Ba 3.46-3.60, 2 Li 3.82
Li 0.5000 0.3377 0.1623  6 Ba 3.46-3.60, 2 Li 3.82

Space-group type: P4/mbm
Energy above the most stable polymorph in this dataset in kJ/mol of formula units: 53.6
Total DFT energy (no corrections) in eV/atom: -1.92
M_tot in Bohr magnetons per cell: 0.001
Energy of formation in eV/atom: 0.1494